{
  "formula": "Ba3NbFe3Si2O14",
  "functional": "PBE+U",
  "state": "optimized geometry",
  "vol_a3_per_cell": 347.5,
  "magnetic_moment_mub_per_atom": 0.647,
  "space_group": "P321",
  "mass_density_g_cm3": 4.55,
  "total_energy_ev_per_cell": -169.58,
  "cell": [[-5.611, -0.228, 6.626], [-1.016, -5.385, -6.738], [3.030, -3.626, 2.441]],
  "species": ["Fe", "Fe", "O", "Si", "O", "O", "O", "Ba", "Nb", "O", "O", "O", "O", "O", "Fe", "O", "O", "Ba", "O", "O", "O", "Si", "Ba"],
  "frac_coords": [[0.746, 0.000, 0.500], [0.254, 0.254, 0.500], [0.784, 0.886, 0.224], [0.667, 0.333, 0.478], [0.477, 0.301, 0.352], [0.103, 0.216, 0.224], [0.216, 0.103, 0.776], [0.570, 0.570, 0.000], [0.000, 0.000, 0.000], [0.667, 0.333, 0.781], [0.897, 0.114, 0.776], [0.824, 0.523, 0.352], [0.114, 0.897, 0.224], [0.886, 0.784, 0.776], [0.000, 0.746, 0.500], [0.301, 0.477, 0.648], [0.176, 0.699, 0.648], [0.430, 0.000, 0.000], [0.699, 0.176, 0.352], [0.333, 0.667, 0.219], [0.523, 0.824, 0.648], [0.333, 0.667, 0.522], [0.000, 0.430, 0.000]]
}